ScWO4 | PBE with a Hubbard U | optimized geometry

## Properties
- Raw total energy: -99.18 eV/cell
- Theoretical density: 6.6 g cm⁻³

Cell lengths 6.6442, 6.8329, 3.2237 Å; angles 90.00, 90.00, 90.00 degrees
Space group Cmmm (No. 65)
Inequivalent atoms, fractional coordinates:
Sc  0.0000  0.0000  0.0000 [2 per cell]
W  0.0000  0.5000  0.5000 [2 per cell]
O  0.0000  0.3119  0.0000 [4 per cell]
O  0.2073  0.0000  0.5000 [4 per cell]